{"formula": "Cd2MoP", "functional": "GGA-PBE", "state": "optimized geometry", "lattice_angstrom": [[-0.339, 5.227, 0.482], [-1.128, 0.163, -2.569], [-4.801, -0.434, 1.332]], "species": ["Cd", "Cd", "Mo", "P"], "frac_coords": [[0.000, 0.766, 0.750], [0.000, 0.234, 0.250], [0.500, 0.500, 0.500], [0.500, 0.500, 0.000]], "crystal_system": "monoclinic", "delta_e_f_kj_per_mol_fu": 156, "sg": "P2/m"}

---

{"formula": "HgIr4Br", "functional": "GGA-PBE", "state": "optimized geometry", "lattice_angstrom": [[-3.801, -2.285, 2.996], [-4.446, -1.893, -2.303], [-0.823, -5.281, -0.291]], "species": ["Hg", "Ir", "Ir", "Ir", "Ir", "Br"], "frac_coords": [[0.000, 0.000, 0.000], [0.875, 0.375, 0.375], [0.375, 0.375, 0.875], [0.375, 0.875, 0.375], [0.375, 0.375, 0.375], [0.750, 0.750, 0.750]], "crystal_system": "cubic", "sg": "F-43m"}

---

{"formula": "LiHfThMo", "functional": "GGA-PBE", "state": "optimized geometry", "lattice_angstrom": [[-2.435, -2.199, 3.643], [1.164, -4.578, 1.313], [2.228, -0.829, 4.288]], "species": ["Mo", "Hf", "Th", "Li"], "frac_coords": [[0.250, 0.250, 0.250], [0.500, 0.500, 0.500], [0.000, 0.000, 0.000], [0.750, 0.750, 0.750]], "crystal_system": "cubic", "delta_e_f_kj_per_mol_fu": 35, "sg": "F-43m"}

---

{"formula": "Sm6CuI8", "functional": "GGA-PBE", "state": "optimized geometry", "lattice_angstrom": [[-6.900, 3.259, -0.179], [-4.259, 0.268, 6.328], [0.953, 11.216, 4.770]], "species": ["Sm", "Sm", "Sm", "Sm", "Sm", "Sm", "Cu", "I", "I", "I", "I", "I", "I", "I", "I"], "frac_coords": [[0.951, 0.656, 0.147], [0.754, 0.049, 0.853], [0.344, 0.754, 0.853], [0.656, 0.246, 0.147], [0.246, 0.951, 0.147], [0.049, 0.344, 0.853], [0.000, 0.000, 0.000], [0.755, 0.457, 0.681], [0.894, 0.245, 0.319], [0.543, 0.894, 0.319], [0.333, 0.333, 0.000], [0.667, 0.667, 0.000], [0.457, 0.106, 0.681], [0.106, 0.755, 0.681], [0.245, 0.543, 0.319]], "crystal_system": "trigonal", "sg": "R-3"}

---

{"formula": "IrOsRh", "functional": "GGA-PBE", "state": "optimized geometry", "lattice_angstrom": [[-4.672, 0.675, -0.165], [-2.930, -3.243, 1.793], [3.591, 2.952, 0.838]], "species": ["Os", "Ir", "Rh"], "frac_coords": [[0.336, 0.336, 0.000], [0.995, 0.995, 0.000], [0.668, 0.668, 0.000]], "e_above_lowest_polymorph_ev_per_fu": 0.02, "crystal_system": "orthorhombic", "delta_e_f_kj_per_mol_fu": 2, "sg": "Imm2"}

---

{"formula": "BaCa2AgO", "functional": "GGA-PBE", "state": "optimized geometry", "lattice_angstrom": [[4.760, 0.000, 0.000], [0.000, 4.760, 0.000], [0.000, 0.000, 5.805]], "species": ["O", "Ca", "Ca", "Ba", "Ag"], "frac_coords": [[0.000, 0.000, 0.000], [0.000, 0.500, 0.000], [0.500, 0.000, 0.000], [0.000, 0.000, 0.500], [0.500, 0.500, 0.500]], "crystal_system": "tetragonal", "sg": "P4/mmm"}

---

{"formula": "Ag2BrF2", "functional": "GGA-PBE", "state": "optimized geometry", "lattice_angstrom": [[3.900, 0.000, 0.000], [0.000, 3.900, 0.000], [1.950, 1.950, 5.638]], "species": ["Br", "Ag", "Ag", "F", "F"], "frac_coords": [[0.000, 0.000, 0.000], [0.367, 0.367, 0.266], [0.633, 0.633, 0.734], [0.750, 0.250, 0.500], [0.250, 0.750, 0.500]], "e_above_lowest_polymorph_ev_per_fu": 0.70, "crystal_system": "tetragonal", "sg": "I4/mmm"}

---

{"formula": "Sr2ScP", "functional": "GGA-PBE", "state": "optimized geometry", "lattice_angstrom": [[3.681, 0.000, 0.000], [0.000, 3.681, 0.000], [0.000, 0.000, 9.362]], "species": ["Sr", "Sr", "Sc", "P"], "frac_coords": [[0.000, 0.000, 0.951], [0.500, 0.500, 0.319], [0.500, 0.500, 0.656], [0.000, 0.000, 0.574]], "crystal_system": "tetragonal", "delta_e_f_kj_per_mol_fu": -182, "sg": "P4mm"}

---

{"formula": "PaSe2Br", "functional": "GGA-PBE", "state": "optimized geometry", "lattice_angstrom": [[-1.427, 2.889, 2.233], [-0.578, -2.546, 2.925], [5.581, 1.139, 2.093]], "species": ["Pa", "Se", "Se", "Br"], "frac_coords": [[0.500, 0.500, 0.000], [0.000, 0.000, 0.788], [0.000, 0.000, 0.212], [0.500, 0.500, 0.500]], "e_above_lowest_polymorph_ev_per_fu": 0.89, "crystal_system": "tetragonal", "sg": "P4/mmm"}

---

{"formula": "NbVNiRu", "functional": "GGA-PBE", "state": "optimized geometry", "lattice_angstrom": [[-0.884, 0.653, -3.718], [-3.600, -1.516, 0.590], [-1.263, 3.345, 0.888]], "species": ["Nb", "V", "Ni", "Ru"], "frac_coords": [[0.000, 0.500, 0.500], [0.500, 0.000, 0.500], [0.500, 0.500, 0.000], [0.000, 0.000, 0.000]], "e_above_lowest_polymorph_ev_per_fu": 0.00, "crystal_system": "orthorhombic", "delta_e_f_kj_per_mol_fu": -64, "sg": "Pmmm"}

---

{"formula": "KHo4Cl12", "functional": "GGA-PBE", "state": "optimized geometry", "lattice_angstrom": [[-0.363, 8.237, 3.392], [-7.177, -1.330, -5.120], [0.066, -6.083, 6.518]], "species": ["K", "Ho", "Ho", "Ho", "Ho", "Cl", "Cl", "Cl", "Cl", "Cl", "Cl", "Cl", "Cl", "Cl", "Cl", "Cl", "Cl"], "frac_coords": [[0.000, 0.500, 0.500], [0.500, 0.000, 0.000], [0.000, 0.500, 0.000], [0.000, 0.000, 0.500], [0.500, 0.500, 0.500], [0.194, 0.754, 0.948], [0.059, 0.753, 0.306], [0.447, 0.753, 0.694], [0.301, 0.102, 0.801], [0.699, 0.500, 0.801], [0.194, 0.246, 0.440], [0.806, 0.754, 0.560], [0.699, 0.898, 0.199], [0.301, 0.500, 0.199], [0.553, 0.247, 0.306], [0.941, 0.247, 0.694], [0.806, 0.246, 0.052]], "crystal_system": "orthorhombic", "sg": "Immm"}

---

{"formula": "Hf2SnO2", "functional": "GGA-PBE", "state": "optimized geometry", "lattice_angstrom": [[4.188, 0.000, 0.000], [0.000, 4.188, 0.000], [2.094, 2.094, 4.966]], "species": ["Hf", "Hf", "Sn", "O", "O"], "frac_coords": [[0.750, 0.250, 0.500], [0.250, 0.750, 0.500], [0.000, 0.000, 0.000], [0.307, 0.307, 0.385], [0.693, 0.693, 0.615]], "e_above_lowest_polymorph_ev_per_fu": 1.95, "crystal_system": "tetragonal", "sg": "I4/mmm"}

---

So what do the calculations give for calculated total energy? Going down the list: -0.151, -0.191, -0.273, -0.148, -0.336, -0.144, -0.107, -0.156, -0.203, -0.321, -0.169, -0.313 hartree per atom.